1.
The following is a DFT calculation (PBE+U) of a geometry-optimized BaAlCrO4 structure.

Cell: 5.3270 5.7480 7.1493 Å, 90.00 107.05 90.00°
Last column: nearest neighbours and their distance in Å.
Positions (direct):
Al1 0.7149 0.2500 0.6705  4 O 1.74-1.85
Ba1 0.7283 0.7500 0.9438  4 O 2.62-2.91
Ba2 0.2717 0.2500 0.0562  4 O 2.62-2.91
O1 0.9692 0.0314 0.6721  1 Al 1.85, 2 Cr 2.00-2.06
Al2 0.2851 0.7500 0.3295  4 O 1.74-1.85
O2 0.9692 0.4686 0.6721  1 Al 1.85, 2 Cr 2.00-2.06
O3 0.0308 0.9686 0.3279  1 Al 1.85, 2 Cr 2.00-2.06
O4 0.4520 0.2500 0.4557  1 Al 1.75, 1 Cr 1.93
O5 0.5480 0.7500 0.5443  1 Al 1.75, 1 Cr 1.93
O6 0.3434 0.7500 0.1029  1 Al 1.74
O7 0.6566 0.2500 0.8971  1 Al 1.74
Cr1 0.1112 0.2500 0.4988  5 O 1.93-2.06
O8 0.0308 0.5314 0.3279  1 Al 1.85, 2 Cr 2.00-2.06
Cr2 0.8888 0.7500 0.5012  5 O 1.93-2.06

Uncorrected energy in eV per atom: -7.1042
Magnetic moment in Bohr magnetons per cell: 6.000


2.
The following is a DFT calculation (PBE+U) of a geometry-optimized BaAlCr4O7 structure.

Cell: 6.0853 6.0853 10.4955 Å, 90.00 90.00 120.00°
Last column: nearest neighbours and their distance in Å.
Positions (direct):
O1 0.4902 0.9804 0.2685  1 Al 1.98, 2 Cr 2.03
O2 0.5098 0.4902 0.7685  1 Al 1.98, 2 Cr 2.03
O3 0.9804 0.4902 0.7685  1 Al 1.98, 2 Cr 2.03
Cr1 0.1616 0.3232 0.6856  4 O 1.97-2.04
O4 0.0000 0.0000 0.2803  4 Cr 1.90-1.97
O5 0.0196 0.5098 0.2685  1 Al 1.98, 2 Cr 2.03
Cr2 0.1616 0.8384 0.6856  4 O 1.97-2.04
Cr3 0.0000 0.0000 0.9610  4 O 1.90-1.98
Al1 0.3333 0.6667 0.3718  6 O 1.98-2.01
O6 0.8144 0.1856 0.9923  2 Cr 1.98-2.04, 1 Al 2.01
Al2 0.6667 0.3333 0.8718  6 O 1.98-2.01
Cr4 0.0000 0.0000 0.4610  4 O 1.90-1.98
O7 0.1856 0.8144 0.4923  2 Cr 1.98-2.04, 1 Al 2.01
O8 0.6289 0.8144 0.4923  2 Cr 1.98-2.04, 1 Al 2.01
Ba1 0.3333 0.6667 0.9817  9 O 2.91-3.05
O9 0.3711 0.1856 0.9923  2 Cr 1.98-2.04, 1 Al 2.01
Cr5 0.8384 0.1616 0.1856  4 O 1.97-2.04
O10 0.4902 0.5098 0.2685  1 Al 1.98, 2 Cr 2.03
O11 0.8144 0.6289 0.9923  2 Cr 1.98-2.04, 1 Al 2.01
Cr6 0.3232 0.1616 0.1856  4 O 1.97-2.04
Cr7 0.8384 0.6768 0.1856  4 O 1.97-2.04
O12 0.0000 0.0000 0.7803  4 Cr 1.90-1.97
O13 0.1856 0.3711 0.4923  2 Cr 1.98-2.04, 1 Al 2.01
O14 0.5098 0.0196 0.7685  1 Al 1.98, 2 Cr 2.03
Ba2 0.6667 0.3333 0.4817  9 O 2.91-3.05
Cr8 0.6768 0.8384 0.6856  4 O 1.97-2.04

Uncorrected energy in eV per atom: -7.1827
Magnetic moment in Bohr magnetons per cell: 30.002